1.
A relaxed Na5NbO6 crystal, computed with PBE.

The structure in POSCAR format:
```
Na5NbO6
1.0
5.674 0.000 1.403
2.837 5.008 0.702
0.683 0.000 5.725
O Nb Na
6 1 5
Cartesian
7.440 3.576 3.068 O
4.591 3.576 5.463 O
5.015 0.000 5.617 O
1.754 1.432 4.762 O
1.342 0.000 1.511 O
4.603 1.432 2.367 O
0.000 0.000 0.000 Nb
3.179 0.000 3.564 Na
3.178 3.251 3.564 Na
6.016 1.757 4.266 Na
2.837 1.673 0.702 Na
5.674 3.335 1.403 Na
```

Output
The space group is C2/m, No. 12. Its crystal system is monoclinic.

=====

2.
A relaxed NaNb2O6 crystal, computed with PBE.

The structure in POSCAR format:
```
NaNb2O6
1.0
5.427 0.000 0.000
-2.714 4.700 0.000
0.000 0.000 5.048
O Nb Na
6 2 1
Cartesian
2.093 0.000 3.626 O
1.047 1.813 1.422 O
-1.667 2.887 1.422 O
-1.047 1.813 3.626 O
3.334 0.000 1.422 O
1.667 2.887 3.626 O
0.000 3.133 2.524 Nb
2.714 1.567 2.524 Nb
0.000 0.000 0.000 Na
```

Output
The space group is P-31m, No. 162. Its crystal system is trigonal.

=====

3.
A relaxed Na3Nb6O11 crystal, computed with PBE.

The structure in POSCAR format:
```
Na3Nb6O11
1.0
6.133 0.000 0.000
-3.066 5.311 0.000
0.000 0.000 8.228
Nb Na O
6 3 11
Cartesian
3.066 3.625 7.007 Nb
1.606 4.468 1.221 Nb
-1.606 4.468 1.221 Nb
0.000 1.687 1.221 Nb
4.672 0.843 7.007 Nb
1.461 0.843 7.007 Nb
3.066 1.770 3.549 Na
0.000 0.000 4.114 Na
0.000 3.541 4.680 Na
3.066 3.679 2.364 O
0.000 3.541 2.375 O
3.066 0.000 0.000 O
1.653 4.495 5.864 O
1.533 2.656 0.000 O
0.000 1.633 5.864 O
4.719 0.816 2.364 O
3.066 1.770 5.853 O
-1.653 4.495 5.864 O
1.414 0.816 2.364 O
-1.533 2.656 0.000 O
```

Output
The space group is P-3m1, No. 164. Its crystal system is trigonal.

=====

4.
A relaxed NaNb4O6 crystal, computed with PBE.

The structure in POSCAR format:
```
NaNb4O6
1.0
-3.926 1.262 -0.730
-1.268 -1.922 3.498
1.419 6.915 4.314
O Na Nb
6 1 4
Cartesian
-2.597 -0.330 1.384 O
-1.619 2.308 0.681 O
-0.290 0.716 2.796 O
0.441 4.276 5.017 O
0.710 3.457 2.157 O
-0.888 5.868 2.902 O
0.000 0.000 0.000 Na
0.075 2.496 3.906 Nb
-1.254 4.088 1.792 Nb
-2.254 1.341 2.427 Nb
-1.521 4.913 4.655 Nb
```

Output
The space group is P4/mmm, No. 123. Its crystal system is tetragonal.

=====

Mass density, respectively: 3.20, 3.93, 4.97, 5.61 Mg/m³.
Final energy, respectively: -66.609, -70.564, -162.222, -95.083 eV/f.u..